Entry 1:
A plane-wave DFT calculation with GGA-PBE was carried out for an optimized crystal structure of Cs3BeTl.

Output
Crystal system: cubic
Space-group type: Pm-3m (221)
Energy of formation from the pure elements: 612.7 meV per atom
Spin magnetization: 0.00 μB per formula unit
Uncorrected energy: -1.118 eV/atom

Lattice parameters (Å, degrees): 6.994 6.994 6.994 90.00 90.00 90.00
Element x y z (fractional)
Cs  0.000  0.000  0.500
Cs  0.000  0.500  0.000
Cs  0.500  0.000  0.000
Be  0.000  0.000  0.000
Tl  0.500  0.500  0.500

***

Entry 2:
A plane-wave DFT calculation with GGA-PBE was carried out for an optimized crystal structure of PmYScPd.

Output
Crystal system: cubic
Space-group type: F-43m (216)
Energy of formation from the pure elements: -152.0 meV per atom
Spin magnetization: 0.00 μB per formula unit
Uncorrected energy: -5.837 eV/atom

Lattice parameters (Å, degrees): 7.382 7.382 7.382 90.00 90.00 90.00
Element x y z (fractional)
Pm  0.000  0.000  0.000
Pm  0.000  0.500  0.500
Pm  0.500  0.000  0.500
Pm  0.500  0.500  0.000
Y  0.000  0.000  0.500
Y  0.000  0.500  0.000
Y  0.500  0.000  0.000
Y  0.500  0.500  0.500
Sc  0.250  0.250  0.250
Sc  0.250  0.750  0.750
Sc  0.750  0.250  0.750
Sc  0.750  0.750  0.250
Pd  0.250  0.250  0.750
Pd  0.250  0.750  0.250
Pd  0.750  0.250  0.250
Pd  0.750  0.750  0.750

***

Entry 3:
A plane-wave DFT calculation with GGA-PBE was carried out for an optimized crystal structure of RbY3Zn.

Output
Crystal system: cubic
Space-group type: Pm-3m (221)
Energy of formation from the pure elements: 1415.6 meV per atom
Spin magnetization: 0.00 μB per formula unit
Uncorrected energy: -2.911 eV/atom

Lattice parameters (Å, degrees): 5.505 5.505 5.505 90.00 90.00 90.00
Element x y z (fractional)
Rb  0.000  0.000  0.000
Y  0.000  0.000  0.500
Y  0.000  0.500  0.000
Y  0.500  0.000  0.000
Zn  0.500  0.500  0.500

***

Entry 4:
A plane-wave DFT calculation with GGA-PBE was carried out for an optimized crystal structure of PI2F.

Output
Crystal system: cubic
Space-group type: Fm-3m (225)
Spin magnetization: 0.00 μB per formula unit
Uncorrected energy: -2.455 eV/atom

Lattice parameters (Å, degrees): 7.013 7.013 7.013 90.00 90.00 90.00
Element x y z (fractional)
P  0.000  0.000  0.000
P  0.000  0.500  0.500
P  0.500  0.000  0.500
P  0.500  0.500  0.000
I  0.250  0.250  0.250
I  0.250  0.250  0.750
I  0.250  0.750  0.250
I  0.250  0.750  0.750
I  0.750  0.250  0.250
I  0.750  0.250  0.750
I  0.750  0.750  0.250
I  0.750  0.750  0.750
F  0.000  0.000  0.500
F  0.000  0.500  0.000
F  0.500  0.000  0.000
F  0.500  0.500  0.500

***

Entry 5:
A plane-wave DFT calculation with GGA-PBE was carried out for an optimized crystal structure of K2CaPt.

Output
Crystal system: cubic
Space-group type: Fm-3m (225)
Energy of formation from the pure elements: 259.1 meV per atom
Spin magnetization: 0.00 μB per formula unit
Uncorrected energy: -2.300 eV/atom

Lattice parameters (Å, degrees): 8.009 8.009 8.009 90.00 90.00 90.00
Element x y z (fractional)
K  0.250  0.250  0.250
K  0.250  0.250  0.750
K  0.250  0.750  0.250
K  0.250  0.750  0.750
K  0.750  0.250  0.250
K  0.750  0.250  0.750
K  0.750  0.750  0.250
K  0.750  0.750  0.750
Ca  0.000  0.000  0.000
Ca  0.000  0.500  0.500
Ca  0.500  0.000  0.500
Ca  0.500  0.500  0.000
Pt  0.000  0.000  0.500
Pt  0.000  0.500  0.000
Pt  0.500  0.000  0.000
Pt  0.500  0.500  0.500

***

Entry 6:
A plane-wave DFT calculation with GGA-PBE was carried out for an optimized crystal structure of SmGdRu.

Output
Crystal system: tetragonal
Space-group type: I4mm (107)
Energy of formation from the pure elements: -250.0 meV per atom
Spin magnetization: 7.06 μB per formula unit
Uncorrected energy: -9.609 eV/atom

Lattice parameters (Å, degrees): 3.444 3.444 13.322 90.00 90.00 90.00
Element x y z (fractional)
Sm  0.000  0.000  0.000
Sm  0.500  0.500  0.500
Gd  0.000  0.000  0.748
Gd  0.500  0.500  0.248
Ru  0.000  0.000  0.372
Ru  0.500  0.500  0.872